Material: Pu2NiGe
Method: DFT, PBE
State: relaxed

The structure in extended XYZ format:
```
4
Lattice="-1.390 2.958 3.696 -3.254 0.149 -1.343 -0.917 -2.816 1.909" Properties=species:S:1:pos:R:3 pbc="T T T"
Ni -0.695 1.479 1.848
Ge -2.781 0.146 2.131
Pu -0.458 -1.408 0.955
Pu -1.627 0.074 -0.672
```

Calculated values
DOS at the Fermi energy, states/eV/cell: 8.2
Formation enthalpy at 0 K, eV/atom: -0.0057
SG: P4/mmm (123)

***

Material: PuNi3Ge
Method: DFT, PBE
State: relaxed

The structure in extended XYZ format:
```
10
Lattice="5.186 0.000 0.000 0.000 6.974 0.000 -2.593 -3.487 4.547" Properties=species:S:1:pos:R:3 pbc="T T T"
Pu 0.000 0.643 2.273
Pu 2.593 2.844 2.273
Ni 1.296 -1.744 3.625
Ni -1.296 -1.744 3.625
Ni 3.889 5.231 0.922
Ni 1.296 5.231 0.922
Ni 0.000 3.675 2.273
Ni 2.593 -0.188 2.273
Ge 0.000 3.487 0.000
Ge 2.593 0.000 0.000
```

Calculated values
DOS at the Fermi energy, states/eV/cell: 25.7
Formation enthalpy at 0 K, eV/atom: -0.1661
SG: Imma (74)

***

Material: PuNi4Ge2
Method: DFT, PBE
State: relaxed

The structure in extended XYZ format:
```
14
Lattice="-2.593 0.843 2.650 4.967 -1.102 5.209 1.923 7.014 -0.350" Properties=species:S:1:pos:R:3 pbc="T T T"
Pu -1.296 0.422 1.325
Pu 3.445 2.956 2.430
Ni 1.114 2.346 0.343
Ni 5.776 3.566 4.516
Ni 0.590 4.389 1.908
Ni 3.708 2.367 5.602
Ni 2.375 5.921 3.167
Ni 1.922 0.835 4.342
Ni 1.903 0.243 1.784
Ni 4.987 5.670 3.075
Ge 2.588 5.242 0.864
Ge 4.302 0.671 3.995
Ge 3.653 4.669 4.816
Ge 0.644 2.087 2.694
```

Calculated values
DOS at the Fermi energy, states/eV/cell: 27.8
Formation enthalpy at 0 K, eV/atom: -0.3833
SG: P4_2/mnm (136)

***

Material: PuNi6Ge4
Method: DFT, PBE
State: relaxed

The structure in extended XYZ format:
```
11
Lattice="6.114 -0.031 -0.045 -2.854 5.407 0.045 -2.854 -1.946 5.045" Properties=species:S:1:pos:R:3 pbc="T T T"
Pu 0.000 0.000 0.000
Ni -3.429 3.201 2.295
Ni -3.429 0.957 3.821
Ni 2.841 0.832 1.224
Ni 1.630 -0.988 2.500
Ni -1.284 1.900 2.795
Ni 1.630 2.688 0.000
Ge -1.844 -0.388 2.669
Ge 0.915 1.616 2.376
Ge -1.844 2.624 0.621
Ge -2.528 3.039 4.469
```

Calculated values
DOS at the Fermi energy, states/eV/cell: 20.5
Formation enthalpy at 0 K, eV/atom: -0.2624
SG: I-42m (121)

***

Material: Pu2Ni5Ge3
Method: DFT, PBE
State: relaxed

The structure in extended XYZ format:
```
10
Lattice="-1.004 3.496 -1.356 -2.338 -1.681 -2.603 -8.072 0.395 6.995" Properties=species:S:1:pos:R:3 pbc="T T T"
Pu -2.233 1.833 0.822
Pu -7.510 -0.530 4.194
Ni -1.671 0.908 -1.979
Ni 0.000 0.000 0.000
Ni -7.490 2.090 5.378
Ni -2.253 -0.787 -0.363
Ni -5.707 1.105 1.518
Ge -5.749 2.005 3.869
Ge -3.994 -0.702 1.146
Ge -4.036 0.198 3.498
```

Calculated values
DOS at the Fermi energy, states/eV/cell: 22.6
Formation enthalpy at 0 K, eV/atom: -0.2251
SG: P-4m2 (115)

***

Material: Pu3Ni7Ge4
Method: DFT, PBE
State: relaxed

The structure in extended XYZ format:
```
14
Lattice="3.932 0.000 0.992 1.460 7.329 2.500 0.164 0.101 7.639" Properties=species:S:1:pos:R:3 pbc="T T T"
Pu 1.539 1.418 2.190
Pu 4.018 6.012 8.941
Pu 0.812 3.715 5.069
Ni 2.539 5.938 6.514
Ni 2.404 1.575 7.046
Ni 4.099 2.627 8.620
Ni 3.017 1.492 4.617
Ni 1.458 4.803 2.511
Ni 0.000 0.000 0.000
Ni 3.152 5.855 4.084
Ge 3.356 3.528 3.274
Ge 2.200 3.902 7.857
Ge 4.817 6.645 5.774
Ge 0.740 0.785 5.357
```

Calculated values
DOS at the Fermi energy, states/eV/cell: 39.9
Formation enthalpy at 0 K, eV/atom: -0.4038
SG: C2/m (12)

***

Material: Pu2NiGe6Rh
Method: DFT, PBE
State: relaxed

The structure in extended XYZ format:
```
20
Lattice="-5.408 -2.558 0.938 -0.346 -5.738 1.901 -1.714 1.139 12.770" Properties=species:S:1:pos:R:3 pbc="T T T"
Pu -5.677 -6.825 7.295
Pu -1.791 -0.333 8.313
Pu -5.582 -5.012 12.785
Pu -1.885 -2.145 2.824
Ni 0.000 0.000 0.000
Ni -3.734 -3.579 7.804
Ge -5.774 -3.885 6.508
Ge -2.847 -5.724 7.065
Ge -2.647 -2.406 5.965
Ge -1.694 -3.272 9.101
Ge -4.621 -1.433 8.544
Ge -4.821 -4.751 9.643
Ge -5.639 -2.095 11.936
Ge -2.773 -3.896 12.482
Ge -2.577 -0.646 11.405
Ge -1.829 -5.062 3.672
Ge -4.695 -3.261 3.127
Ge -4.891 -6.511 4.203
Rh -3.780 -4.472 5.100
Rh -3.687 -2.686 10.508
```

Calculated values
DOS at the Fermi energy, states/eV/cell: 32.1
Formation enthalpy at 0 K, eV/atom: -0.2761
SG: R-3m (166)

***

Material: PuNiGe2Rh
Method: DFT, PBE
State: relaxed

The structure in extended XYZ format:
```
5
Lattice="-0.579 0.694 3.950 -2.029 -3.493 0.316 5.814 -1.120 -1.029" Properties=species:S:1:pos:R:3 pbc="T T T"
Pu 0.000 0.000 0.000
Ni 1.965 -0.913 2.527
Ge -0.204 -2.015 2.402
Ge 3.410 -1.905 0.835
Rh 1.241 -3.007 0.710
```

Calculated values
DOS at the Fermi energy, states/eV/cell: 11.0
Formation enthalpy at 0 K, eV/atom: -0.5584
SG: I-4m2 (119)

***

Material: Pu2Ni3Ge4Ru
Method: DFT, PBE
State: relaxed

The structure in extended XYZ format:
```
10
Lattice="4.115 0.000 0.000 0.000 4.115 0.000 0.000 0.000 9.853" Properties=species:S:1:pos:R:3 pbc="T T T"
Pu 2.058 0.000 2.409
Pu 0.000 2.058 7.444
Ni 0.000 0.000 4.926
Ni 2.058 0.000 8.625
Ni 0.000 2.058 1.228
Ge 2.058 2.058 0.000
Ge 0.000 0.000 0.000
Ge 2.058 0.000 6.272
Ge 0.000 2.058 3.581
Ru 2.058 2.058 4.926
```

Calculated values
DOS at the Fermi energy, states/eV/cell: 27.1
Formation enthalpy at 0 K, eV/atom: -0.4911
SG: P-4m2 (115)

***

Material: Sm2PuNi4Ge3
Method: DFT, PBE
State: relaxed

The structure in extended XYZ format:
```
10
Lattice="-0.413 2.841 -3.088 1.354 -2.847 -2.800 -9.509 -3.030 -1.516" Properties=species:S:1:pos:R:3 pbc="T T T"
Sm -2.340 0.740 -1.884
Sm -6.698 -3.774 -2.576
Pu -4.284 -1.518 -3.702
Ni 0.470 -0.003 -2.944
Ni 0.000 0.000 0.000
Ni -6.392 -0.551 -2.530
Ni -2.647 -2.483 -1.930
Ge -4.754 -1.515 -0.758
Ge -8.595 -1.253 -2.882
Ge -0.443 -1.781 -1.578
```

Calculated values
DOS at the Fermi energy, states/eV/cell: 11.7
Formation enthalpy at 0 K, eV/atom: -0.5548
SG: P-4m2 (115)

***

no.,E (eV/atom),calculated volume (Å³/atom),magnetic moment (μB/atom)
1,-9.771,15.31,0.007
2,-7.425,16.44,1.042
3,-7.054,14.40,0.753
4,-6.398,15.09,0.466
5,-7.367,16.11,0.978
6,-7.685,15.58,1.075
7,-7.226,19.77,1.091
8,-7.898,17.35,1.202
9,-7.866,16.69,1.053
10,-6.630,17.95,0.525